A relaxed structure of YLuSc2, computed with PBE.

a b c (Å): 5.362 5.362 5.362
angles (deg): 60.00 60.00 60.00
Element x y z (fractional)
Y: 0.000 0.000 0.000
Lu: 0.750 0.750 0.750
Sc: 0.250 0.250 0.250
Sc: 0.500 0.500 0.500

Summary:
Theoretical density ... 5.4 g/cm3
SG ... F-43m, No. 216
Formation energy ... 140 meV per atom

***

A relaxed structure of PrDyNO, computed with PBE.

a b c (Å): 5.018 5.018 4.967
angles (deg): 90.00 90.00 90.00
Element x y z (fractional)
Pr: 0.250 0.750 0.000
Pr: 0.750 0.250 0.000
Dy: 0.250 0.250 0.499
Dy: 0.750 0.750 0.501
N: 0.250 0.250 0.003
N: 0.750 0.750 0.997
O: 0.250 0.750 0.500
O: 0.750 0.250 0.500

Summary:
Offset from the most stable computed form ... 8.2 meV/atom
Theoretical density ... 8.9 g/cm3
SG ... P4/nmm, No. 129

***

A relaxed structure of NaTbZnO3, computed with PBE.

a b c (Å): 5.453 5.453 9.290
angles (deg): 90.00 90.00 142.84
Element x y z (fractional)
Na: 0.224 0.776 0.750
Na: 0.776 0.224 0.250
Tb: 0.500 0.500 0.000
Tb: 0.500 0.500 0.500
Zn: 0.054 0.946 0.250
Zn: 0.946 0.054 0.750
O: 0.131 0.869 0.065
O: 0.131 0.869 0.435
O: 0.442 0.558 0.250
O: 0.558 0.442 0.750
O: 0.869 0.131 0.565
O: 0.869 0.131 0.935

Summary:
Total DFT energy (no corrections) ... -5.80 eV/atom
Theoretical density ... 5.9 g/cm3
SG ... Cmcm, No. 63

***

A relaxed structure of HfNiGe, computed with PBE.

a b c (Å): 6.521 3.872 7.331
angles (deg): 90.00 90.00 90.00
Element x y z (fractional)
Hf: 0.019 0.250 0.189
Hf: 0.481 0.750 0.689
Hf: 0.519 0.250 0.311
Hf: 0.981 0.750 0.811
Ni: 0.140 0.250 0.562
Ni: 0.360 0.750 0.062
Ni: 0.640 0.250 0.938
Ni: 0.860 0.750 0.438
Ge: 0.235 0.750 0.384
Ge: 0.265 0.250 0.884
Ge: 0.735 0.750 0.116
Ge: 0.765 0.250 0.616

Summary:
Total DFT energy (no corrections) ... -7.46 eV/atom
Theoretical density ... 11.1 g/cm3
SG ... Pnma, No. 62

***

A relaxed structure of GdMgZn, computed with PBE.

a b c (Å): 5.020 5.020 9.720
angles (deg): 90.00 90.00 120.00
Element x y z (fractional)
Gd: 0.000 0.000 0.000
Gd: 0.333 0.667 0.133
Gd: 0.667 0.333 0.270
Mg: 0.000 0.000 0.366
Mg: 0.000 0.000 0.671
Mg: 0.667 0.333 0.866
Zn: 0.333 0.667 0.445
Zn: 0.333 0.667 0.823
Zn: 0.667 0.333 0.573

Summary:
Total DFT energy (no corrections) ... -2.41 eV/atom
Theoretical density ... 5.8 g/cm3
SG ... P3m1, No. 156

***

A relaxed structure of Cs2Te3Pd2, computed with PBE.

a b c (Å): 9.004 9.004 9.004
angles (deg): 109.47 109.47 109.47
Element x y z (fractional)
Cs: 0.000 0.298 0.500
Cs: 0.202 0.202 0.202
Cs: 0.298 0.500 0.000
Cs: 0.500 0.000 0.298
Te: 0.067 0.750 0.817
Te: 0.250 0.683 0.433
Te: 0.433 0.250 0.683
Te: 0.683 0.433 0.250
Te: 0.750 0.817 0.067
Te: 0.817 0.067 0.750
Pd: 0.000 0.712 0.500
Pd: 0.500 0.000 0.712
Pd: 0.712 0.500 0.000
Pd: 0.788 0.788 0.788

Summary:
Offset from the most stable computed form ... 29.0 meV/atom
Theoretical density ... 5.1 g/cm3
SG ... I2_13, No. 199